NaPPtCl2 (PBE-GGA, relaxed); energy relative to the elements, uncorrected = -0.355 eV/atom
1.0
-1.818 4.700 -1.725
-2.454 -2.436 -4.051
-3.635 -0.489 2.497
Cl Pt P Na
2 1 1 1
Direct
0.500 0.000 0.000
0.000 0.500 0.000
0.000 0.000 0.000
0.000 0.000 0.500
0.500 0.500 0.500